No. 1
# TbMg2ZrAu4 | the Open Quantum Materials Database | PBE | optimized geometry
# - Electronic total energy: -4.3654 eV per atom
# - Calculated density: 11.32 g cm⁻³
data_TbMg2ZrAu4
_cell_length_a 4.836
_cell_length_b 4.836
_cell_length_c 6.813
_cell_angle_alpha 90.00
_cell_angle_beta 90.00
_cell_angle_gamma 90.00
_symmetry_space_group_name_H-M 'P 4/m m m'
_symmetry_Int_Tables_number 123
_symmetry_space_group_name_Hall '-P 4 2'
loop_
_atom_site_label
_atom_site_type_symbol
_atom_site_fract_x
_atom_site_fract_y
_atom_site_fract_z
_atom_site_occupancy
Tb1 Tb 0.000 0.000 0.000 1
Mg1 Mg 0.000 0.000 0.500 1
Mg2 Mg 0.500 0.500 0.000 1
Zr1 Zr 0.500 0.500 0.500 1
Au1 Au 0.000 0.500 0.265 1


No. 2
# AlCuReOs | the Open Quantum Materials Database | PBE | optimized geometry
# - Electronic total energy: -7.7613 eV per atom
# - Calculated density: 13.97 g cm⁻³
data_AlCuReOs
_cell_length_a 6.055
_cell_length_b 6.055
_cell_length_c 6.055
_cell_angle_alpha 90.00
_cell_angle_beta 90.00
_cell_angle_gamma 90.00
_symmetry_space_group_name_H-M 'F -4 3 m'
_symmetry_Int_Tables_number 216
_symmetry_space_group_name_Hall 'F -4 2 3'
loop_
_atom_site_label
_atom_site_type_symbol
_atom_site_fract_x
_atom_site_fract_y
_atom_site_fract_z
_atom_site_occupancy
Al1 Al 0.000 0.000 0.000 1
Cu1 Cu 0.250 0.250 0.250 1
Re1 Re 0.000 0.000 0.500 1
Os1 Os 0.250 0.250 0.750 1


No. 3
# NdSbPb2O6 | the Open Quantum Materials Database | PBE | optimized geometry
# - Electronic total energy: -6.2785 eV per atom
# - Calculated density: 8.07 g cm⁻³
data_NdSbPb2O6
_cell_length_a 5.356
_cell_length_b 5.368
_cell_length_c 5.726
_cell_angle_alpha 92.95
_cell_angle_beta 90.69
_cell_angle_gamma 103.70
_symmetry_space_group_name_H-M 'P -1'
_symmetry_Int_Tables_number 2
loop_
_symmetry_equiv_pos_as_xyz
'x,y,z'
'-x,-y,-z'
loop_
_atom_site_label
_atom_site_type_symbol
_atom_site_fract_x
_atom_site_fract_y
_atom_site_fract_z
_atom_site_occupancy
Nd1 Nd 0.000 0.000 0.000 1
Sb1 Sb 0.500 0.500 0.000 1
Pb1 Pb 0.306 0.696 0.467 1
O1 O 0.258 0.724 0.034 1
O2 O 0.288 0.273 0.740 1
O3 O 0.308 0.297 0.262 1


No. 4
# Na2Pm2O5 | the Open Quantum Materials Database | PBE | optimized geometry
# - Electronic total energy: -5.8048 eV per atom
# - Calculated density: 6.08 g cm⁻³
data_Na2Pm2O5
_cell_length_a 4.092
_cell_length_b 4.092
_cell_length_c 6.785
_cell_angle_alpha 90.00
_cell_angle_beta 90.00
_cell_angle_gamma 90.00
_symmetry_space_group_name_H-M 'P 4/m m m'
_symmetry_Int_Tables_number 123
_symmetry_space_group_name_Hall '-P 4 2'
loop_
_atom_site_label
_atom_site_type_symbol
_atom_site_fract_x
_atom_site_fract_y
_atom_site_fract_z
_atom_site_occupancy
Na1 Na 0.000 0.000 0.196 1
Pm1 Pm 0.500 0.500 0.000 1
Pm2 Pm 0.500 0.500 0.500 1
O1 O 0.000 0.000 0.500 1
O2 O 0.000 0.500 0.218 1


No. 5
# Li2HfZrIn2Pt2 | the Open Quantum Materials Database | PBE | optimized geometry
# - Electronic total energy: -5.7370 eV per atom
# - Calculated density: 10.82 g cm⁻³
data_Li2HfZrIn2Pt2
_cell_length_a 4.610
_cell_length_b 4.610
_cell_length_c 6.522
_cell_angle_alpha 90.00
_cell_angle_beta 90.00
_cell_angle_gamma 90.00
_symmetry_space_group_name_H-M 'P -4 m 2'
_symmetry_Int_Tables_number 115
loop_
_symmetry_equiv_pos_as_xyz
'x,y,z'
'y,-x,-z'
'-x,-y,z'
'-y,x,-z'
'-x,y,z'
'-y,-x,-z'
'x,-y,z'
'y,x,-z'
loop_
_atom_site_label
_atom_site_type_symbol
_atom_site_fract_x
_atom_site_fract_y
_atom_site_fract_z
_atom_site_occupancy
Li1 Li 0.000 0.500 0.250 1
Hf1 Hf 0.000 0.000 0.500 1
Zr1 Zr 0.500 0.500 0.000 1
In1 In 0.000 0.000 0.000 1
In2 In 0.500 0.500 0.500 1
Pt1 Pt 0.000 0.500 0.746 1


No. 6
# ZrAlNO | the Open Quantum Materials Database | PBE | optimized geometry
# - Electronic total energy: -7.9694 eV per atom
# - Calculated density: 5.37 g cm⁻³
data_ZrAlNO
_cell_length_a 4.133
_cell_length_b 4.133
_cell_length_c 5.370
_cell_angle_alpha 90.00
_cell_angle_beta 90.00
_cell_angle_gamma 90.00
_symmetry_space_group_name_H-M 'P 4/n m m'
_symmetry_Int_Tables_number 129
loop_
_symmetry_equiv_pos_as_xyz
'x,y,z'
'-x,-y,-z'
'-y+1/2,x,z'
'y+1/2,-x,-z'
'-x+1/2,-y+1/2,z'
'x+1/2,y+1/2,-z'
'y,-x+1/2,z'
'-y,x+1/2,-z'
'x+1/2,-y,-z'
'-x+1/2,y,z'
'-y,-x,-z'
'y,x,z'
'-x,y+1/2,-z'
'x,-y+1/2,z'
'y+1/2,x+1/2,-z'
'-y+1/2,-x+1/2,z'
loop_
_atom_site_label
_atom_site_type_symbol
_atom_site_fract_x
_atom_site_fract_y
_atom_site_fract_z
_atom_site_occupancy
Zr1 Zr 0.250 0.750 0.000 1
Al1 Al 0.250 0.250 0.495 1
N1 N 0.250 0.250 0.846 1
O1 O 0.250 0.750 0.500 1


No. 7
# Na4Tl2ZnHg | the Open Quantum Materials Database | PBE | optimized geometry
# - Electronic total energy: -1.5546 eV per atom
# - Calculated density: 6.33 g cm⁻³
data_Na4Tl2ZnHg
_cell_length_a 5.214
_cell_length_b 5.214
_cell_length_c 7.398
_cell_angle_alpha 90.00
_cell_angle_beta 90.00
_cell_angle_gamma 90.00
_symmetry_space_group_name_H-M 'P -4 m 2'
_symmetry_Int_Tables_number 115
loop_
_symmetry_equiv_pos_as_xyz
'x,y,z'
'y,-x,-z'
'-x,-y,z'
'-y,x,-z'
'-x,y,z'
'-y,-x,-z'
'x,-y,z'
'y,x,-z'
loop_
_atom_site_label
_atom_site_type_symbol
_atom_site_fract_x
_atom_site_fract_y
_atom_site_fract_z
_atom_site_occupancy
Na1 Na 0.000 0.000 0.000 1
Na2 Na 0.000 0.500 0.249 1
Na3 Na 0.500 0.500 0.500 1
Tl1 Tl 0.000 0.500 0.762 1
Zn1 Zn 0.500 0.500 0.000 1
Hg1 Hg 0.000 0.000 0.500 1


No. 8
# BaPdF4 | the Open Quantum Materials Database | PBE | optimized geometry
# - Electronic total energy: -4.8078 eV per atom
# - Calculated density: 6.12 g cm⁻³
data_BaPdF4
_cell_length_a 4.126
_cell_length_b 4.126
_cell_length_c 10.196
_cell_angle_alpha 90.00
_cell_angle_beta 90.00
_cell_angle_gamma 90.00
_symmetry_space_group_name_H-M 'P 4/n m m'
_symmetry_Int_Tables_number 129
loop_
_symmetry_equiv_pos_as_xyz
'x,y,z'
'-x,-y,-z'
'-y+1/2,x,z'
'y+1/2,-x,-z'
'-x+1/2,-y+1/2,z'
'x+1/2,y+1/2,-z'
'y,-x+1/2,z'
'-y,x+1/2,-z'
'x+1/2,-y,-z'
'-x+1/2,y,z'
'-y,-x,-z'
'y,x,z'
'-x,y+1/2,-z'
'x,-y+1/2,z'
'y+1/2,x+1/2,-z'
'-y+1/2,-x+1/2,z'
loop_
_atom_site_label
_atom_site_type_symbol
_atom_site_fract_x
_atom_site_fract_y
_atom_site_fract_z
_atom_site_occupancy
Ba1 Ba 0.250 0.250 0.152 1
Pd1 Pd 0.250 0.250 0.605 1
F1 F 0.250 0.250 0.816 1
F2 F 0.250 0.750 0.000 1
F3 F 0.250 0.750 0.371 1


No. 9
# Dy2YAl3NiAg2 | the Open Quantum Materials Database | PBE | optimized geometry
# - Electronic total energy: -4.7323 eV per atom
# - Calculated density: 6.89 g cm⁻³
data_Dy2YAl3NiAg2
_cell_length_a 4.145
_cell_length_b 12.463
_cell_length_c 7.175
_cell_angle_alpha 90.00
_cell_angle_beta 90.00
_cell_angle_gamma 90.00
_symmetry_space_group_name_H-M 'A m m 2'
_symmetry_Int_Tables_number 38
loop_
_symmetry_equiv_pos_as_xyz
'x,y,z'
'-x,-y,z'
'-x,y,z'
'x,-y,z'
'x,y+1/2,z+1/2'
'-x,-y+1/2,z+1/2'
'-x,y+1/2,z+1/2'
'x,-y+1/2,z+1/2'
loop_
_atom_site_label
_atom_site_type_symbol
_atom_site_fract_x
_atom_site_fract_y
_atom_site_fract_z
_atom_site_occupancy
Dy1 Dy 0.000 0.199 0.000 1
Y1 Y 0.000 0.000 0.598 1
Al1 Al 0.500 0.000 0.976 1
Al2 Al 0.500 0.111 0.311 1
Ni1 Ni 0.000 0.000 0.197 1
Ag1 Ag 0.500 0.168 0.699 1


No. 10
# Ni2Bi2Pb3 | the Open Quantum Materials Database | PBE | optimized geometry
# - Electronic total energy: -4.1378 eV per atom
# - Calculated density: 10.86 g cm⁻³
data_Ni2Bi2Pb3
_cell_length_a 4.6150
_cell_length_b 4.6150
_cell_length_c 28.7821
_cell_angle_alpha 90.00
_cell_angle_beta 90.00
_cell_angle_gamma 120.00
_symmetry_space_group_name_H-M 'R 3 m'
_symmetry_Int_Tables_number 160
_symmetry_space_group_name_Hall 'R 3 -2"'
loop_
_atom_site_label
_atom_site_type_symbol
_atom_site_fract_x
_atom_site_fract_y
_atom_site_fract_z
_atom_site_occupancy
Ni1 Ni 0.0000 0.0000 0.0000 1
Ni2 Ni 0.0000 0.0000 0.4583 1
Bi1 Bi 0.0000 0.0000 0.2274 1
Bi2 Bi 0.0000 0.0000 0.6266 1
Pb1 Pb 0.0000 0.0000 0.0964 1
Pb2 Pb 0.0000 0.0000 0.3623 1
Pb3 Pb 0.0000 0.0000 0.8304 1


No. 11
# GaFeCuNi | the Open Quantum Materials Database | PBE | optimized geometry
# - Electronic total energy: -5.2243 eV per atom
# - Calculated density: 8.58 g cm⁻³
data_GaFeCuNi
_cell_length_a 5.768
_cell_length_b 5.768
_cell_length_c 5.768
_cell_angle_alpha 90.00
_cell_angle_beta 90.00
_cell_angle_gamma 90.00
_symmetry_space_group_name_H-M 'F -4 3 m'
_symmetry_Int_Tables_number 216
_symmetry_space_group_name_Hall 'F -4 2 3'
loop_
_atom_site_label
_atom_site_type_symbol
_atom_site_fract_x
_atom_site_fract_y
_atom_site_fract_z
_atom_site_occupancy
Ga1 Ga 0.000 0.000 0.000 1
Fe1 Fe 0.250 0.250 0.750 1
Cu1 Cu 0.250 0.250 0.250 1
Ni1 Ni 0.000 0.000 0.500 1


What is the calculated density in the seventh record?
6.33 g cm⁻³